CrMoRh2: optimized geometry, PBEsol.

Unit cell a=2.664 b=4.591 c=4.636 alpha=99.87 beta=106.70 gamma=90.00
Sites, in units of the cell vectors:
Cr 0.500 0.000 0.000
Mo 0.000 0.500 0.000
Rh 0.245 0.243 0.490
Rh 0.755 0.757 0.510

Values from the calculation:
**DFT total energy**: -9.5686 eV/atom
**Spin magnetization**: 0.0001 μB/atom
**Excess energy over the best structure of this formula in the dataset**: 0.1230 eV per atom
**Formation enthalpy at 0 K**: 0.003 eV/atom

---

SiP2PdRh: optimized geometry, PBEsol.

Unit cell a=4.306 b=4.306 c=5.109 alpha=90.00 beta=90.00 gamma=90.00
Sites, in units of the cell vectors:
P 0.000 0.500 0.000
P 0.500 0.000 0.000
Si 0.500 0.500 0.500
Rh 0.000 0.000 0.000
Pd 0.000 0.000 0.500

Values from the calculation:
**DFT total energy**: -5.6308 eV/atom
**Spin magnetization**: 0.0000 μB/atom
**Formation energy without anion corrections**: 0.65 eV/atom

---

Li2CdSb: optimized geometry, PBEsol.

Unit cell a=4.299 b=4.299 c=5.211 alpha=114.36 beta=114.36 gamma=90.00
Sites, in units of the cell vectors:
Sb 0.500 0.500 0.000
Cd 0.250 0.750 0.500
Li 0.000 0.000 0.000
Li 0.750 0.250 0.500

Values from the calculation:
**DFT total energy**: -2.7783 eV/atom
**Spin magnetization**: 0.0000 μB/atom
**Excess energy over the best structure of this formula in the dataset**: 0.0585 eV per atom
**Formation energy without anion corrections**: -0.36 eV/atom

---

MgPbBr2: optimized geometry, PBEsol.

Unit cell a=3.570 b=3.570 c=8.207 alpha=90.00 beta=90.00 gamma=90.00
Sites, in units of the cell vectors:
Br 0.000 0.000 0.980
Br 0.500 0.500 0.312
Mg 0.000 0.000 0.464
Pb 0.500 0.500 0.744

Values from the calculation:
**DFT total energy**: -2.9655 eV/atom
**Spin magnetization**: 0.0000 μB/atom
**Excess energy over the best structure of this formula in the dataset**: 0.0000 eV per atom
**Formation energy without anion corrections**: -0.60 eV/atom

---

KGa2Sb2: optimized geometry, PBEsol.

Unit cell a=4.542 b=4.542 c=7.986 alpha=106.52 beta=106.52 gamma=90.00
Sites, in units of the cell vectors:
Sb 0.359 0.359 0.717
Sb 0.641 0.641 0.283
K 0.000 0.000 0.000
Ga 0.250 0.750 0.500
Ga 0.750 0.250 0.500

Values from the calculation:
**DFT total energy**: -3.6244 eV/atom
**Spin magnetization**: 0.0000 μB/atom
**Formation energy without anion corrections**: -0.24 eV/atom

---

CaMgRh2: optimized geometry, PBEsol.

Unit cell a=3.038 b=3.038 c=8.619 alpha=79.85 beta=79.85 gamma=60.00
Sites, in units of the cell vectors:
Ca 0.500 0.500 0.500
Mg 0.000 0.000 0.000
Rh 0.254 0.254 0.237
Rh 0.746 0.746 0.763

Values from the calculation:
**DFT total energy**: -5.0806 eV/atom
**Spin magnetization**: 0.0000 μB/atom
**Formation enthalpy at 0 K**: -0.049 eV/atom

---

MgF2: optimized geometry, PBEsol.

Unit cell a=4.950 b=4.950 c=4.950 alpha=90.00 beta=90.00 gamma=90.00
Sites, in units of the cell vectors:
F 0.340 0.340 0.340
F 0.160 0.660 0.840
F 0.660 0.840 0.160
F 0.840 0.160 0.660
F 0.660 0.660 0.660
F 0.840 0.340 0.160
F 0.340 0.160 0.840
F 0.160 0.840 0.340
Mg 0.000 0.000 0.000
Mg 0.500 0.000 0.500
Mg 0.000 0.500 0.500
Mg 0.500 0.500 0.000

Values from the calculation:
**DFT total energy**: -5.3588 eV/atom
**Spin magnetization**: 0.0001 μB/atom
**Formation energy without anion corrections**: -3.50 eV/atom

---

MgTiH2: optimized geometry, PBEsol.

Unit cell a=4.411 b=4.411 c=5.413 alpha=114.05 beta=114.05 gamma=90.00
Sites, in units of the cell vectors:
H 0.334 0.875 0.250
H 0.916 0.375 0.250
H 0.125 0.084 0.750
H 0.625 0.666 0.750
Mg 0.750 0.250 0.500
Mg 0.500 0.500 0.000
Ti 0.250 0.750 0.500
Ti 0.000 0.000 0.000

Values from the calculation:
**DFT total energy**: -4.3147 eV/atom
**Spin magnetization**: 0.0001 μB/atom